Record 1
Below is a relaxed structure of DyEr2O, with properties calculated at the PBE-GGA level.

Output
uncorrected formation energy = -821 meV per atom
space group = P4/mmm, No. 123
ΔE to the lowest computed polymorph = 538 meV per atom

a = 3.1728 Å, b = 3.1728 Å, c = 8.5972 Å
α = 90.00°, β = 90.00°, γ = 90.00°
Closest atoms and distances in Å follow each position.
Atoms (fractional coordinates):
Dy  0.5000  0.5000  0.5000  4 Dy 3.17
O  0.5000  0.5000  0.0000  8 Er 2.72
Er  0.0000  0.0000  0.8219  4 O 2.72
Er  0.0000  0.0000  0.1781  4 O 2.72



Record 2
Below is a relaxed structure of DyEr2O4, with properties calculated at the PBE-GGA level.

Output
uncorrected formation energy = -3248 meV per atom
space group = C2/m, No. 12

a = 3.3992 Å, b = 5.8068 Å, c = 6.3692 Å
α = 118.88°, β = 105.48°, γ = 90.00°
Closest atoms and distances in Å follow each position.
Atoms (fractional coordinates):
Dy  0.0000  0.0000  0.0000  6 O 2.27-2.41
Er  0.7042  0.7055  0.4085  6 O 2.21-2.45
Er  0.2958  0.2945  0.5915  6 O 2.21-2.45
O  0.8638  0.1579  0.7275  3 Er 2.21-2.36, 1 Dy 2.27
O  0.1362  0.8421  0.2725  3 Er 2.21-2.36, 1 Dy 2.27
O  0.6476  0.2749  0.2952  3 Er 2.23-2.45, 2 Dy 2.41
O  0.3524  0.7251  0.7048  3 Er 2.23-2.45, 2 Dy 2.41



Record 3
Below is a relaxed structure of DyEr2O, with properties calculated at the PBE-GGA level.

Output
uncorrected formation energy = -1359 meV per atom
space group = R-3m, No. 166
ΔE to the lowest computed polymorph = 0 meV per atom

a = 3.4770 Å, b = 3.4770 Å, c = 8.8441 Å
α = 78.66°, β = 78.66°, γ = 60.00°
Closest atoms and distances in Å follow each position.
Atoms (fractional coordinates):
Dy  0.5000  0.5000  0.5000  6 Dy 3.48, 6 Er 3.56
O  0.0000  0.0000  0.0000  6 Er 2.43
Er  0.2805  0.2805  0.1585  3 O 2.43
Er  0.7195  0.7195  0.8415  3 O 2.43



Record 4
Below is a relaxed structure of Dy2ErO4, with properties calculated at the PBE-GGA level.

Output
uncorrected formation energy = -3231 meV per atom
space group = C2/m, No. 12

a = 3.4336 Å, b = 5.8640 Å, c = 6.3267 Å
α = 119.95°, β = 105.75°, γ = 90.00°
Closest atoms and distances in Å follow each position.
Atoms (fractional coordinates):
Dy  0.6985  0.6993  0.3971  4 O 2.23-2.39
Dy  0.3015  0.3007  0.6029  4 O 2.23-2.39
Er  0.0000  0.0000  0.0000  6 O 2.24-2.37
O  0.8671  0.1581  0.7343  3 Dy 2.23-2.39, 1 Er 2.24
O  0.1329  0.8419  0.2657  3 Dy 2.23-2.39, 1 Er 2.24
O  0.6435  0.2665  0.2871  3 Dy 2.26-2.51, 2 Er 2.37
O  0.3565  0.7335  0.7129  3 Dy 2.26-2.51, 2 Er 2.37



Record 5
Below is a relaxed structure of DyErPaO6, with properties calculated at the PBE-GGA level.

Output
uncorrected formation energy = -3239 meV per atom
space group = P312, No. 149

a = 4.6755 Å, b = 5.7591 Å, c = 5.7591 Å
α = 120.00°, β = 90.00°, γ = 90.00°
Closest atoms and distances in Å follow each position.
Atoms (fractional coordinates):
Dy  0.5000  0.6667  0.3333  6 O 2.28
Er  0.5000  0.0000  0.0000  6 O 2.26
Pa  0.0000  0.3333  0.6667  6 O 2.20
O  0.7445  0.6551  0.6697  1 Pa 2.20, 1 Er 2.26, 1 Dy 2.28
O  0.7445  0.3303  0.9854  1 Pa 2.20, 1 Er 2.26, 1 Dy 2.28
O  0.7445  0.0146  0.3449  1 Pa 2.20, 1 Er 2.26, 1 Dy 2.28
O  0.2555  0.3303  0.3449  1 Pa 2.20, 1 Er 2.26, 1 Dy 2.28
O  0.2555  0.6551  0.9854  1 Pa 2.20, 1 Er 2.26, 1 Dy 2.28
O  0.2555  0.0146  0.6697  1 Pa 2.20, 1 Er 2.26, 1 Dy 2.28



Record 6
Below is a relaxed structure of DyErPbO2, with properties calculated at the PBE-GGA level.

Output
uncorrected formation energy = -2576 meV per atom
space group = I4mm, No. 107

a = 3.8275 Å, b = 3.8275 Å, c = 7.5664 Å
α = 104.65°, β = 104.65°, γ = 90.00°
Closest atoms and distances in Å follow each position.
Atoms (fractional coordinates):
Dy  0.1706  0.1706  0.3413  4 O 2.22-2.23
Er  0.8283  0.8283  0.6566  4 O 2.20
Pb  0.4992  0.4992  0.9983  4 Er 3.63, 4 Dy 3.63, 4 Pb 3.83, 8 O 4.00-4.04
O  0.7510  0.2510  0.5019  2 Er 2.20, 2 Dy 2.22-2.23
O  0.2510  0.7510  0.5019  2 Er 2.20, 2 Dy 2.22-2.23



Record 7
Below is a relaxed structure of Dy2ErPuO8, with properties calculated at the PBE-GGA level.

Output
uncorrected formation energy = -3100 meV per atom
space group = Cmmm, No. 65

a = 5.0809 Å, b = 5.0856 Å, c = 6.9391 Å
α = 90.00°, β = 90.00°, γ = 91.12°
Closest atoms and distances in Å follow each position.
Atoms (fractional coordinates):
Dy  0.5000  0.5000  0.7402  6 O 2.16-2.39
Dy  0.5000  0.5000  0.2598  6 O 2.16-2.39
Er  0.0000  0.0000  0.5000  6 O 2.18-2.33
Pu  0.0000  0.0000  0.0000  6 O 1.99-2.04
O  0.1828  0.8165  0.2237  1 Pu 2.04
O  0.7196  0.7205  0.0000  1 Pu 1.99
O  0.8173  0.1834  0.2237  1 Pu 2.04
O  0.8172  0.1835  0.7763  1 Pu 2.04
O  0.2804  0.2795  0.0000  1 Pu 1.99
O  0.1827  0.8166  0.7763  1 Pu 2.04
O  0.6934  0.6945  0.5000  2 Dy 2.16, 1 Er 2.18
O  0.3066  0.3055  0.5000  2 Dy 2.16, 1 Er 2.18



Record 8
Below is a relaxed structure of DyEr2PuO8, with properties calculated at the PBE-GGA level.

Output
uncorrected formation energy = -3109 meV per atom
space group = P2/m, No. 10

a = 5.0606 Å, b = 5.0618 Å, c = 6.9304 Å
α = 90.00°, β = 90.00°, γ = 90.83°
Closest atoms and distances in Å follow each position.
Atoms (fractional coordinates):
Dy  0.0000  0.0000  0.5000  6 O 2.20-2.34
Er  0.5000  0.5000  0.7399  6 O 2.14-2.38
Er  0.5000  0.5000  0.2601  6 O 2.14-2.38
Pu  0.0000  0.0000  0.0000  6 O 2.00-2.04
O  0.1848  0.8141  0.2221  1 Pu 2.04
O  0.7179  0.7191  0.0000  1 Pu 2.00
O  0.8153  0.1859  0.2221  1 Pu 2.04
O  0.8152  0.1859  0.7779  1 Pu 2.04
O  0.2821  0.2809  0.0000  1 Pu 2.00
O  0.1847  0.8141  0.7779  1 Pu 2.04
O  0.6900  0.6915  0.5000  2 Er 2.14, 1 Dy 2.20
O  0.3100  0.3085  0.5000  2 Er 2.14, 1 Dy 2.20



Record 9
Below is a relaxed structure of DyErPuO6, with properties calculated at the PBE-GGA level.

Output
uncorrected formation energy = -3076 meV per atom
space group = P-31c, No. 163

a = 5.6888 Å, b = 5.6888 Å, c = 9.4396 Å
α = 90.00°, β = 90.00°, γ = 120.00°
Closest atoms and distances in Å follow each position.
Atoms (fractional coordinates):
Dy  0.0000  0.0000  0.0000  6 O 2.33
Dy  0.0000  0.0000  0.5000  6 O 2.33
Er  0.3333  0.6667  0.2500  6 O 2.25
Er  0.6667  0.3333  0.7500  6 O 2.25
Pu  0.6667  0.3333  0.2500  6 O 2.08
Pu  0.3333  0.6667  0.7500  6 O 2.08
O  0.6672  0.6442  0.1337  1 Pu 2.08, 1 Er 2.25
O  0.9770  0.3328  0.1337  1 Pu 2.08, 1 Er 2.25
O  0.3328  0.9770  0.6337  1 Pu 2.08, 1 Er 2.25
O  0.0230  0.6672  0.8663  1 Pu 2.08, 1 Er 2.25
O  0.3558  0.3328  0.3663  1 Pu 2.08, 1 Er 2.25
O  0.9770  0.6442  0.3663  1 Pu 2.08, 1 Er 2.25
O  0.6442  0.9770  0.8663  1 Pu 2.08, 1 Er 2.25
O  0.6672  0.0230  0.3663  1 Pu 2.08, 1 Er 2.25
O  0.0230  0.3558  0.6337  1 Pu 2.08, 1 Er 2.25
O  0.3558  0.0230  0.1337  1 Pu 2.08, 1 Er 2.25
O  0.6442  0.6672  0.6337  1 Pu 2.08, 1 Er 2.25
O  0.3328  0.3558  0.8663  1 Pu 2.08, 1 Er 2.25



Record 10
Below is a relaxed structure of Rb3DyEr2O6, with properties calculated at the PBE-GGA level.

Output
uncorrected formation energy = -2715 meV per atom
space group = C2/m, No. 12

a = 6.0378 Å, b = 6.0378 Å, c = 6.8541 Å
α = 98.44°, β = 98.44°, γ = 120.00°
Closest atoms and distances in Å follow each position.
Atoms (fractional coordinates):
Rb  0.1668  0.8332  0.5000  6 O 2.92-2.94
Rb  0.8332  0.1668  0.5000  6 O 2.92-2.94
Rb  0.5000  0.5000  0.5000  6 O 2.92-2.94
Dy  0.0000  0.0000  0.0000  6 O 2.33
Er  0.3333  0.6667  0.0000  6 O 2.31
Er  0.6667  0.3333  0.0000  6 O 2.31
O  0.9419  0.6060  0.8257  2 Er 2.31, 1 Dy 2.33
O  0.7222  0.7222  0.1743  2 Er 2.31, 1 Dy 2.33
O  0.0581  0.3940  0.1743  2 Er 2.31, 1 Dy 2.33
O  0.6060  0.9419  0.8257  2 Er 2.31, 1 Dy 2.33
O  0.2778  0.2778  0.8257  2 Er 2.31, 1 Dy 2.33
O  0.3940  0.0581  0.1743  2 Er 2.31, 1 Dy 2.33



Record 11
Below is a relaxed structure of Rb3Dy2ErO6, with properties calculated at the PBE-GGA level.

Output
uncorrected formation energy = -2706 meV per atom
space group = C2/m, No. 12

a = 6.0611 Å, b = 6.0611 Å, c = 6.8621 Å
α = 98.47°, β = 98.47°, γ = 120.00°
Closest atoms and distances in Å follow each position.
Atoms (fractional coordinates):
Rb  0.1665  0.8335  0.5000  6 O 2.93-2.95
Rb  0.8335  0.1665  0.5000  6 O 2.93-2.95
Rb  0.5000  0.5000  0.5000  6 O 2.93-2.95
Dy  0.3333  0.6667  0.0000  6 O 2.33
Dy  0.6667  0.3333  0.0000  6 O 2.33
Er  0.0000  0.0000  0.0000  6 O 2.31
O  0.9417  0.6109  0.8252  1 Er 2.31, 2 Dy 2.33
O  0.7275  0.7275  0.1748  1 Er 2.31, 2 Dy 2.33
O  0.0583  0.3891  0.1748  1 Er 2.31, 2 Dy 2.33
O  0.6109  0.9417  0.8252  1 Er 2.31, 2 Dy 2.33
O  0.2725  0.2725  0.8252  1 Er 2.31, 2 Dy 2.33
O  0.3891  0.0583  0.1748  1 Er 2.31, 2 Dy 2.33



Record 12
Below is a relaxed structure of DyEr2ReO8, with properties calculated at the PBE-GGA level.

Output
uncorrected formation energy = -2814 meV per atom
space group = Cmmm, No. 65

a = 5.0147 Å, b = 5.0128 Å, c = 6.7113 Å
α = 90.00°, β = 90.00°, γ = 90.58°
Closest atoms and distances in Å follow each position.
Atoms (fractional coordinates):
Dy  0.0000  0.0000  0.5000  6 O 2.18-2.36
Er  0.5000  0.5000  0.7476  6 O 2.14-2.35
Er  0.5000  0.5000  0.2524  6 O 2.14-2.35
Re  0.0000  0.0000  0.0000  6 O 1.90-1.91
O  0.1828  0.8170  0.2075  1 Re 1.91
O  0.7301  0.7302  0.0000  1 Re 1.90
O  0.8172  0.1830  0.2075  1 Re 1.91
O  0.8172  0.1830  0.7925  1 Re 1.91
O  0.2699  0.2698  0.0000  1 Re 1.90
O  0.1828  0.8170  0.7925  1 Re 1.91
O  0.6915  0.6917  0.5000  2 Er 2.14, 1 Dy 2.18
O  0.3085  0.3083  0.5000  2 Er 2.14, 1 Dy 2.18



- Which formula does entry 9 have?
  DyErPuO6



What did the eighth record say?
Below is a relaxed structure of DyEr2PuO8, with properties calculated at the PBE-GGA level.

Output
uncorrected formation energy = -3109 meV per atom
space group = P2/m, No. 10

a = 5.0606 Å, b = 5.0618 Å, c = 6.9304 Å
α = 90.00°, β = 90.00°, γ = 90.83°
Closest atoms and distances in Å follow each position.
Atoms (fractional coordinates):
Dy  0.0000  0.0000  0.5000  6 O 2.20-2.34
Er  0.5000  0.5000  0.7399  6 O 2.14-2.38
Er  0.5000  0.5000  0.2601  6 O 2.14-2.38
Pu  0.0000  0.0000  0.0000  6 O 2.00-2.04
O  0.1848  0.8141  0.2221  1 Pu 2.04
O  0.7179  0.7191  0.0000  1 Pu 2.00
O  0.8153  0.1859  0.2221  1 Pu 2.04
O  0.8152  0.1859  0.7779  1 Pu 2.04
O  0.2821  0.2809  0.0000  1 Pu 2.00
O  0.1847  0.8141  0.7779  1 Pu 2.04
O  0.6900  0.6915  0.5000  2 Er 2.14, 1 Dy 2.20
O  0.3100  0.3085  0.5000  2 Er 2.14, 1 Dy 2.20



- Which value of uncorrected formation energy does entry 9 give?
  -3076 meV per atom



- Which of these has the lowest uncorrected formation energy?
  DyEr2O4